Na2In6Ga GGA-PBE relaxed; calculated formation energy = -42 meV/atom
1.0
-0.285 2.929 1.419
-1.214 -4.026 8.099
7.197 -1.851 5.297
Na In Ga
2 6 1
direct
0.000 0.333 0.333 Na
0.000 0.667 0.667 Na
0.498 0.669 0.000 In
0.502 0.000 0.331 In
0.502 0.331 0.000 In
0.500 0.669 0.331 In
0.498 0.000 0.669 In
0.500 0.331 0.669 In
0.000 0.000 0.000 Ga



Pa2MnTc GGA-PBE relaxed; calculated formation energy = 101 meV/atom; distance to the lowest polymorph of the same formula = 0.0909 eV per atom
1.0
-3.135 -2.097 0.558
-0.925 -1.148 3.516
-4.685 4.117 2.179
Pa Tc Mn
2 1 1
direct
0.745 0.745 0.765 Pa
0.255 0.255 0.235 Pa
0.500 0.500 0.500 Tc
0.000 0.000 0.000 Mn



CuTcNiGe GGA-PBE relaxed; calculated formation energy = -1 meV/atom
1.0
-0.109 -0.658 4.127
-3.201 -2.084 1.701
0.584 -3.851 1.519
Ni Ge Tc Cu
1 1 1 1
direct
0.500 0.500 0.500 Ni
0.250 0.250 0.250 Ge
0.000 0.000 0.000 Tc
0.750 0.750 0.750 Cu



SmNpCrN3 GGA-PBE relaxed; raw formation energy = -0.939 eV per atom
1.0
3.317 0.000 0.000
0.000 7.266 0.725
0.000 -2.054 6.970
Sm Np Cr N
2 2 2 6
direct
0.750 0.826 0.801 Sm
0.250 0.174 0.199 Sm
0.250 0.652 0.178 Np
0.750 0.348 0.822 Np
0.250 0.087 0.586 Cr
0.750 0.913 0.414 Cr
0.250 0.817 0.533 N
0.750 0.879 0.148 N
0.750 0.428 0.133 N
0.750 0.183 0.467 N
0.250 0.572 0.867 N
0.250 0.121 0.852 N



LiYAg2Br6 GGA-PBE relaxed; raw formation energy = -1.159 eV per atom
1.0
7.177 -0.001 -0.004
-3.589 6.211 -0.001
-3.588 -2.070 6.517
Li Y Ag Br
1 1 2 6
direct
0.010 0.005 0.001 Li
0.980 0.490 0.456 Y
0.598 0.798 0.381 Ag
0.462 0.230 0.679 Ag
0.491 0.876 0.715 Br
0.486 0.100 0.214 Br
0.844 0.742 0.214 Br
0.129 0.385 0.215 Br
0.852 0.614 0.714 Br
0.113 0.237 0.714 Br



Ba2AgRhO5 GGA-PBE relaxed; raw formation energy = -1.388 eV per atom
1.0
-1.988 -1.522 2.364
6.624 -5.296 -0.348
4.490 5.151 7.093
Ba Ag Rh O
4 2 2 10
direct
0.878 0.755 0.792 Ba
0.122 0.245 0.724 Ba
0.122 0.245 0.292 Ba
0.878 0.755 0.224 Ba
0.522 0.044 0.008 Ag
0.478 0.956 0.508 Ag
0.773 0.546 0.508 Rh
0.227 0.454 0.008 Rh
0.345 0.690 0.008 O
0.724 0.448 0.883 O
0.500 0.000 0.758 O
0.276 0.553 0.634 O
0.889 0.778 0.508 O
0.655 0.310 0.508 O
0.276 0.552 0.383 O
0.500 0.000 0.258 O
0.724 0.447 0.134 O
0.111 0.222 0.008 O



Ni3As2Se2 GGA-PBE relaxed; raw formation energy = -0.264 eV per atom
1.0
3.530 0.000 -1.001
-0.830 5.438 -2.927
-0.148 -0.438 6.203
Ni As Se
3 2 2
direct
0.000 0.000 0.000 Ni
0.738 0.754 0.475 Ni
0.262 0.246 0.525 Ni
0.641 0.298 0.282 As
0.359 0.702 0.718 As
0.885 0.227 0.771 Se
0.115 0.773 0.229 Se